Record 1
# Ta2Nb2W7

A geometry-optimized Ta2Nb2W7 structure (GGA-PBE, the Alexandria database).

Computed properties:
DOS at the Fermi energy, states/eV/atom: 1.0654
E_form, kJ/mol of formula units: 491.5
Uncorrected energy, eV per atom: -11.766
Symmetry: C2/m, No. 12

abc: 5.5335 5.5335 6.9229
angles: 96.08 96.08 110.02
With the nearest neighbours (Å) after each atom.
Sites, in units of the cell vectors:
Ta 0.2476 0.7524 0.0000  8 W 2.74-2.80
Ta 0.7524 0.2476 0.0000  8 W 2.74-2.80
Nb 0.0735 0.0735 0.3275  1 Nb 2.72, 7 W 2.73-2.84
Nb 0.9265 0.9265 0.6725  1 Nb 2.72, 7 W 2.73-2.84
W 0.0633 0.5740 0.3337  2 W 2.61-2.74, 2 Nb 2.75-2.79, 2 Ta 2.77-2.78
W 0.2645 0.2645 0.0046  2 Nb 2.73-2.84, 4 Ta 2.74-2.80, 1 W 3.00
W 0.4260 0.9367 0.6663  2 W 2.61-2.74, 2 Nb 2.75-2.79, 2 Ta 2.77-2.78
W 0.5000 0.5000 0.5000  4 W 2.74, 2 Nb 2.75
W 0.5740 0.0633 0.3337  2 W 2.61-2.74, 2 Nb 2.75-2.79, 2 Ta 2.77-2.78
W 0.7355 0.7355 0.9954  2 Nb 2.73-2.84, 4 Ta 2.74-2.80, 1 W 3.00
W 0.9367 0.4260 0.6663  2 W 2.61-2.74, 2 Nb 2.75-2.79, 2 Ta 2.77-2.78

---

Record 2
# CeHf2Fe

A geometry-optimized CeHf2Fe structure (GGA-PBE, the Alexandria database).

Computed properties:
DOS at the Fermi energy, states/eV/atom: 1.3238
Relative energy among the computed polymorphs, meV per atom: 286
E_form, kJ/mol of formula units: 88.5
Uncorrected energy, eV per atom: -8.347
Symmetry: R-3m, No. 166

abc: 10.0711 10.0711 10.0711
angles: 17.72 17.72 17.72
With the nearest neighbours (Å) after each atom.
Sites, in units of the cell vectors:
Ce 0.0000 0.0000 0.0000  2 Hf 3.06, 6 Ce 3.10
Hf 0.1030 0.1030 0.1030  3 Fe 2.61
Hf 0.8970 0.8970 0.8970  3 Fe 2.61
Fe 0.5000 0.5000 0.5000  6 Hf 2.61

---

Record 3
# La4Zn2Ru2C

A geometry-optimized La4Zn2Ru2C structure (GGA-PBE, the Alexandria database).

Computed properties:
DOS at the Fermi energy, states/eV/atom: 0.9643
E_form, kJ/mol of formula units: -182.1
Uncorrected energy, eV per atom: -5.769
Symmetry: C2/m, No. 12

abc: 6.5032 6.5032 5.2654
angles: 93.93 93.93 70.28
With the nearest neighbours (Å) after each atom.
Sites, in units of the cell vectors:
La 0.1224 0.6278 0.7514  1 C 2.69
La 0.3722 0.8776 0.2486  1 C 2.69
La 0.6278 0.1224 0.7514  1 C 2.69
La 0.8776 0.3722 0.2486  1 C 2.69
Zn 0.3671 0.3671 0.2225  8 La 3.13-3.36, 1 Ru 3.31
Zn 0.6329 0.6329 0.7775  8 La 3.13-3.36, 1 Ru 3.31
Ru 0.1361 0.1361 0.7613  1 C 1.91
Ru 0.8639 0.8639 0.2387  1 C 1.91
C 0.0000 0.0000 0.5000  2 Ru 1.91

---

Record 4
# ScHRh3

A geometry-optimized ScHRh3 structure (GGA-PBE, the Alexandria database).

Computed properties:
DOS at the Fermi energy, states/eV/atom: 0.8712
Relative energy among the computed polymorphs, meV per atom: 0
Uncorrected energy, eV per atom: -6.916
Symmetry: Pm-3m, No. 221

abc: 3.9784 3.9784 3.9784
angles: 90.00 90.00 90.00
With the nearest neighbours (Å) after each atom.
Sites, in units of the cell vectors:
Sc 0.0000 0.0000 0.0000  12 Rh 2.81
H 0.5000 0.5000 0.5000  6 Rh 1.99
Rh 0.0000 0.5000 0.5000  2 H 1.99
Rh 0.5000 0.0000 0.5000  2 H 1.99
Rh 0.5000 0.5000 0.0000  2 H 1.99

---

Record 5
# CrIr4Pt

A geometry-optimized CrIr4Pt structure (GGA-PBE, the Alexandria database).

Computed properties:
DOS at the Fermi energy, states/eV/atom: 1.7363
E_form, kJ/mol of formula units: 269.8
Uncorrected energy, eV per atom: -8.052
Symmetry: F-43m, No. 216

abc: 5.1433 5.1433 5.1433
angles: 60.00 60.00 60.00
With the nearest neighbours (Å) after each atom.
Sites, in units of the cell vectors:
Cr 0.0000 0.0000 0.0000  12 Ir 3.02, 4 Pt 3.15
Ir 0.1250 0.6250 0.6250  6 Ir 2.57
Ir 0.6250 0.1250 0.6250  6 Ir 2.57
Ir 0.6250 0.6250 0.1250  6 Ir 2.57
Ir 0.6250 0.6250 0.6250  6 Ir 2.57
Pt 0.2500 0.2500 0.2500  12 Ir 3.02, 4 Cr 3.15

---

Record 6
# Ho2AlSiPt6

A geometry-optimized Ho2AlSiPt6 structure (GGA-PBE, the Alexandria database).

Computed properties:
DOS at the Fermi energy, states/eV/atom: 0.3546
Uncorrected energy, eV per atom: -6.411
Symmetry: R-3m, No. 166
Energy relative to the elements, uncorrected, eV/atom: -0.954

abc: 8.0118 8.0118 8.0118
angles: 40.86 40.86 40.86
With the nearest neighbours (Å) after each atom.
Sites, in units of the cell vectors:
Ho 0.2053 0.2053 0.2053  9 Pt 2.99-3.21, 3 Al 3.34
Ho 0.7947 0.7947 0.7947  9 Pt 2.99-3.21, 3 Al 3.34
Al 0.5000 0.5000 0.5000  6 Pt 2.49
Si 0.0000 0.0000 0.0000  6 Pt 2.40
Pt 0.2482 0.2482 0.7429  1 Si 2.40, 1 Al 2.49
Pt 0.2482 0.7429 0.2482  1 Si 2.40, 1 Al 2.49
Pt 0.2571 0.7518 0.7518  1 Si 2.40, 1 Al 2.49
Pt 0.7429 0.2482 0.2482  1 Si 2.40, 1 Al 2.49
Pt 0.7518 0.2571 0.7518  1 Si 2.40, 1 Al 2.49
Pt 0.7518 0.7518 0.2571  1 Si 2.40, 1 Al 2.49

---

Record 7
# Nb4CuC2S4

A geometry-optimized Nb4CuC2S4 structure (GGA-PBE, the Alexandria database).

Computed properties:
DOS at the Fermi energy, states/eV/atom: 0.3395
Uncorrected energy, eV per atom: -7.981
Symmetry: P3m1, No. 156
Energy relative to the elements, uncorrected, eV/atom: -0.769

abc: 3.3278 3.3278 18.2829
angles: 90.00 90.00 120.00
With the nearest neighbours (Å) after each atom.
Sites, in units of the cell vectors:
Nb 0.0000 0.0000 0.0000  3 C 2.26, 3 S 2.52
Nb 0.0000 0.0000 0.4936  3 C 2.23
Nb 0.3333 0.6667 0.3668  3 C 2.26, 3 S 2.51
Nb 0.3333 0.6667 0.8719  3 C 2.24
Cu 0.0000 0.0000 0.6612  4 S 2.19-2.32
C 0.6667 0.3333 0.4320  6 Nb 2.23-2.26
C 0.6667 0.3333 0.9352  6 Nb 2.24-2.26
S 0.0000 0.0000 0.2783  3 Nb 2.51
S 0.0000 0.0000 0.7811  1 Cu 2.19
S 0.3333 0.6667 0.0890  3 Nb 2.52
S 0.3333 0.6667 0.5903  3 Cu 2.32

---

Record 8
# SrPuMnN3

A geometry-optimized SrPuMnN3 structure (GGA-PBE, the Alexandria database).

Computed properties:
DOS at the Fermi energy, states/eV/atom: 1.3036
Uncorrected energy, eV per atom: -9.180
Symmetry: P2_1/m, No. 11
Energy relative to the elements, uncorrected, eV/atom: -0.820

abc: 7.4206 3.4652 7.5542
angles: 90.00 100.38 90.00
With the nearest neighbours (Å) after each atom.
Sites, in units of the cell vectors:
Sr 0.1799 0.2500 0.1969  5 N 2.65-2.90
Sr 0.8201 0.7500 0.8031  5 N 2.65-2.90
Pu 0.3541 0.7500 0.8318  6 N 2.24-2.49
Pu 0.6459 0.2500 0.1682  6 N 2.24-2.49
Mn 0.0803 0.2500 0.5947  4 N 1.83-1.94
Mn 0.9197 0.7500 0.4053  4 N 1.83-1.94
N 0.1378 0.2500 0.8404  1 Mn 1.83
N 0.1635 0.7500 0.5254  3 Mn 1.87-1.94
N 0.4361 0.7500 0.1320  3 Pu 2.24-2.31
N 0.5639 0.2500 0.8680  3 Pu 2.24-2.31
N 0.8365 0.2500 0.4746  3 Mn 1.87-1.94
N 0.8622 0.7500 0.1596  1 Mn 1.83